# 1
{"formula": "DyMg3Ag2", "functional": "PBE", "state": "relaxed", "sg": "No. 26", "delta_e_f_ev_per_atom": -0.206, "lattice_angstrom": [[4.396, 0.000, 0.000], [0.000, 7.160, 0.000], [0.000, 0.000, 8.522]], "species": ["Mg", "Mg", "Mg", "Mg", "Mg", "Mg", "Ag", "Ag", "Ag", "Ag", "Dy", "Dy"], "frac_coords": [[0.000, 0.971, 0.081], [0.000, 0.855, 0.700], [0.500, 0.642, 0.188], [0.000, 0.471, 0.919], [0.500, 0.142, 0.812], [0.000, 0.355, 0.300], [0.500, 0.260, 0.115], [0.500, 0.760, 0.885], [0.000, 0.243, 0.624], [0.000, 0.743, 0.376], [0.500, 0.030, 0.423], [0.500, 0.530, 0.577]]}



# 2
{"formula": "Pr3NF6", "functional": "PBE", "state": "relaxed", "sg": "No. 1", "e_form_raw_ev_per_atom": -3.488, "lattice_angstrom": [[-0.448, 3.962, -0.378], [-5.767, -0.516, 1.414], [4.595, -0.979, 5.462]], "species": ["F", "F", "F", "F", "F", "F", "Pr", "Pr", "Pr", "N"], "frac_coords": [[0.793, 0.490, 0.619], [0.147, 0.947, 0.329], [0.283, 0.764, 0.598], [0.106, 0.372, 0.248], [0.820, 0.079, 0.673], [0.477, 0.212, 0.989], [0.643, 0.656, 0.320], [0.967, 0.920, 0.969], [0.332, 0.328, 0.699], [0.484, 0.705, 0.004]]}



# 3
{"formula": "Al5OsRh4", "functional": "PBE", "state": "relaxed", "sg": "No. 123", "delta_e_f_ev_per_atom": -0.971, "lattice_angstrom": [[-1.484, -2.611, 0.138], [2.135, -1.302, -1.668], [7.542, -3.627, 12.485]], "species": ["Al", "Al", "Al", "Al", "Al", "Rh", "Rh", "Rh", "Rh", "Os"], "frac_coords": [[0.500, 0.500, 0.500], [0.500, 0.500, 0.701], [0.500, 0.500, 0.097], [0.500, 0.500, 0.299], [0.500, 0.500, 0.903], [0.000, 0.000, 0.599], [0.000, 0.000, 0.401], [0.000, 0.000, 0.798], [0.000, 0.000, 0.202], [0.000, 0.000, 0.000]]}



# 4
{"formula": "SrCr2Hg", "functional": "PBE", "state": "relaxed", "sg": "No. 71", "delta_e_f_ev_per_atom": 0.654, "lattice_angstrom": [[5.764, -0.009, 0.011], [1.997, 5.408, -0.011], [-3.409, -3.377, 3.194]], "species": ["Hg", "Cr", "Cr", "Sr"], "frac_coords": [[0.750, 0.250, 0.500], [0.970, 0.970, 0.000], [0.530, 0.530, 0.000], [0.250, 0.750, 0.500]]}



# 5
{"formula": "K2YRe", "functional": "PBE", "state": "relaxed", "sg": "No. 12", "delta_e_f_ev_per_atom": 1.200, "lattice_angstrom": [[5.144, -0.007, -0.028], [-2.468, 6.828, 0.033], [0.209, 0.793, 3.212]], "species": ["K", "K", "Re", "Y"], "frac_coords": [[0.500, 0.000, 0.500], [0.000, 0.000, 0.000], [0.000, 0.500, 0.500], [0.500, 0.500, 0.000]]}



# 6
{"formula": "ZrTiNbAg", "functional": "PBE", "state": "relaxed", "sg": "No. 216", "delta_e_f_ev_per_atom": 0.096, "lattice_angstrom": [[-0.628, -4.582, 0.962], [0.968, -3.256, -3.282], [3.740, -2.838, 0.520]], "species": ["Ti", "Ag", "Nb", "Zr"], "frac_coords": [[0.250, 0.250, 0.250], [0.000, 0.000, 0.000], [0.500, 0.500, 0.500], [0.750, 0.750, 0.750]]}



# 7
{"formula": "Ag2IrBr", "functional": "PBE", "state": "relaxed", "sg": "No. 123", "e_form_raw_ev_per_atom": 0.533, "lattice_angstrom": [[-1.825, -2.024, 1.177], [-0.447, -1.164, -2.694], [6.762, -5.393, 1.208]], "species": ["Br", "Ag", "Ag", "Ir"], "frac_coords": [[0.500, 0.500, 0.250], [0.000, 0.000, 0.972], [0.000, 0.000, 0.528], [0.500, 0.500, 0.750]]}



# 8
{"formula": "Ac5In6", "functional": "PBE", "state": "relaxed", "sg": "No. 12", "delta_e_f_ev_per_atom": -0.305, "lattice_angstrom": [[5.487, 0.006, -1.698], [-0.905, 7.229, -2.899], [0.050, -0.286, 9.874]], "species": ["Ac", "Ac", "Ac", "Ac", "Ac", "In", "In", "In", "In", "In", "In"], "frac_coords": [[0.683, 0.183, 0.366], [0.317, 0.817, 0.634], [0.342, 0.342, 0.684], [0.000, 0.500, 0.000], [0.658, 0.658, 0.316], [0.850, 0.066, 0.701], [0.150, 0.365, 0.299], [0.499, 0.199, 0.000], [0.501, 0.801, 0.000], [0.850, 0.635, 0.701], [0.150, 0.934, 0.299]]}



# 9
{"formula": "RbGaSn2", "functional": "PBE", "state": "relaxed", "sg": "No. 160", "delta_e_f_ev_per_atom": -0.047, "lattice_angstrom": [[4.562, 0.000, 0.000], [2.281, 3.951, 0.000], [2.281, 1.317, 7.770]], "species": ["Sn", "Sn", "Ga", "Rb"], "frac_coords": [[0.286, 0.286, 0.142], [0.049, 0.049, 0.854], [0.669, 0.669, 0.992], [0.496, 0.496, 0.513]]}



# 10
{"formula": "ReRu3F", "functional": "PBE", "state": "relaxed", "sg": "No. 221", "e_form_raw_ev_per_atom": 1.112, "lattice_angstrom": [[-2.008, 1.841, -3.106], [-1.699, -3.618, -1.046], [-3.186, 0.769, 2.515]], "species": ["Re", "F", "Ru", "Ru", "Ru"], "frac_coords": [[0.500, 0.500, 0.500], [0.000, 0.000, 0.000], [0.000, 0.000, 0.500], [0.000, 0.500, 0.000], [0.500, 0.000, 0.000]]}



# 11
{"formula": "K2CeScS4", "functional": "PBE", "state": "relaxed", "sg": "No. 10", "e_form_raw_ev_per_atom": -1.747, "lattice_angstrom": [[-0.130, 3.098, 2.581], [-1.414, -4.403, 5.213], [7.656, 0.681, -0.432]], "species": ["S", "S", "S", "S", "Sc", "Ce", "K", "K"], "frac_coords": [[0.000, 0.248, 0.798], [0.500, 0.216, 0.195], [0.000, 0.752, 0.202], [0.500, 0.784, 0.805], [0.000, 0.000, 0.000], [0.500, 0.500, 0.000], [0.500, 0.000, 0.500], [0.000, 0.500, 0.500]]}



# 12
{"formula": "EuPuGePb", "functional": "PBE", "state": "relaxed", "sg": "No. 216", "delta_e_f_ev_per_atom": -0.263, "lattice_angstrom": [[-0.048, -2.543, -4.749], [4.635, -1.079, -2.525], [1.756, -5.081, -0.352]], "species": ["Ge", "Pb", "Eu", "Pu"], "frac_coords": [[0.250, 0.250, 0.250], [0.750, 0.750, 0.750], [0.000, 0.000, 0.000], [0.500, 0.500, 0.500]]}



# 13
{"formula": "Li5Sn", "functional": "PBE", "state": "relaxed", "sg": "No. 12", "delta_e_f_ev_per_atom": -0.285, "lattice_angstrom": [[4.697, 0.000, 0.000], [-2.348, 4.064, -0.223], [0.000, 0.298, 5.635]], "species": ["Li", "Li", "Li", "Li", "Li", "Sn"], "frac_coords": [[0.639, 0.279, 0.339], [0.306, 0.611, 0.611], [0.973, 0.945, 0.340], [0.639, 0.277, 0.882], [0.972, 0.944, 0.883], [0.306, 0.611, 0.111]]}



# 14
{"formula": "ScTa2Os", "functional": "PBE", "state": "relaxed", "sg": "No. 65", "delta_e_f_ev_per_atom": 0.138, "lattice_angstrom": [[5.308, -0.002, 0.000], [-2.570, 4.644, 0.000], [0.000, 0.000, 2.876]], "species": ["Os", "Ta", "Ta", "Sc"], "frac_coords": [[0.500, 0.000, 0.500], [0.500, 0.500, 0.000], [0.000, 0.000, 0.000], [0.000, 0.500, 0.500]]}



# 15
{"formula": "SrTa2BW", "functional": "PBE", "state": "relaxed", "sg": "No. 123", "delta_e_f_ev_per_atom": 0.721, "lattice_angstrom": [[4.664, 0.000, 0.000], [0.000, 4.294, 0.000], [0.000, 0.000, 4.664]], "species": ["Ta", "Ta", "W", "B", "Sr"], "frac_coords": [[0.500, 0.000, 0.000], [0.000, 0.000, 0.500], [0.000, 0.500, 0.000], [0.000, 0.000, 0.000], [0.500, 0.500, 0.500]]}



# 16
{"formula": "Nd2DyPa", "functional": "PBE", "state": "relaxed", "sg": "No. 123", "delta_e_f_ev_per_atom": 0.171, "lattice_angstrom": [[-3.126, 1.285, -0.688], [-1.310, -3.191, -0.004], [-1.938, 0.783, 10.272]], "species": ["Dy", "Pa", "Nd", "Nd"], "frac_coords": [[0.500, 0.500, 0.500], [0.500, 0.500, 0.000], [0.000, 0.000, 0.768], [0.000, 0.000, 0.232]]}



# 17
{"formula": "ErZn4Cu", "functional": "PBE", "state": "relaxed", "sg": "No. 216", "delta_e_f_ev_per_atom": -0.113, "lattice_angstrom": [[-0.837, 3.309, 3.939], [-4.104, 3.210, -0.121], [-4.006, -0.770, 3.243]], "species": ["Zn", "Zn", "Zn", "Zn", "Er", "Cu"], "frac_coords": [[0.625, 0.124, 0.625], [0.124, 0.625, 0.625], [0.625, 0.625, 0.124], [0.625, 0.625, 0.625], [0.250, 0.250, 0.250], [0.000, 0.000, 0.000]]}



# 18
{"formula": "KBa3Tl", "functional": "PBE", "state": "relaxed", "sg": "No. 221", "delta_e_f_ev_per_atom": -0.060, "lattice_angstrom": [[-6.580, 2.009, 0.525], [-1.494, -3.368, -5.834], [-1.443, -5.677, 3.647]], "species": ["Ba", "Ba", "Ba", "Tl", "K"], "frac_coords": [[0.000, 0.500, 0.000], [0.000, 0.000, 0.500], [0.500, 0.000, 0.000], [0.000, 0.000, 0.000], [0.500, 0.500, 0.500]]}



# 19
{"formula": "Ca2Tb2Pr", "functional": "PBE", "state": "relaxed", "sg": "No. 127", "delta_e_f_ev_per_atom": 0.213, "lattice_angstrom": [[9.536, 0.000, 0.000], [0.000, 9.536, 0.000], [0.000, 0.000, 3.977]], "species": ["Pr", "Pr", "Tb", "Tb", "Tb", "Tb", "Ca", "Ca", "Ca", "Ca"], "frac_coords": [[0.500, 0.500, 0.000], [0.000, 0.000, 0.000], [0.626, 0.874, 0.000], [0.874, 0.374, 0.000], [0.126, 0.626, 0.000], [0.374, 0.126, 0.000], [0.672, 0.172, 0.500], [0.172, 0.328, 0.500], [0.328, 0.828, 0.500], [0.828, 0.672, 0.500]]}



# 20
{"formula": "Nd3S4", "functional": "PBE", "state": "relaxed", "sg": "No. 220", "e_form_raw_ev_per_atom": -2.018, "lattice_angstrom": [[7.437, 0.000, 0.000], [-2.479, 7.012, 0.000], [-2.479, -3.506, 6.072]], "species": ["Nd", "Nd", "Nd", "Nd", "Nd", "Nd", "S", "S", "S", "S", "S", "S", "S", "S"], "frac_coords": [[0.875, 0.125, 0.750], [0.625, 0.375, 0.250], [0.375, 0.250, 0.625], [0.125, 0.750, 0.875], [0.250, 0.625, 0.375], [0.750, 0.875, 0.125], [0.352, 0.500, 0.000], [0.500, 0.000, 0.852], [0.648, 0.648, 0.648], [0.000, 0.852, 0.500], [0.500, 0.000, 0.352], [0.148, 0.148, 0.148], [0.852, 0.500, 0.000], [0.000, 0.352, 0.500]]}



# 21
{"formula": "Sm7Bi3C2", "functional": "PBE", "state": "relaxed", "sg": "No. 65", "delta_e_f_ev_per_atom": -0.546, "lattice_angstrom": [[-2.906, -1.026, 3.910], [4.086, -0.361, 2.942], [-2.865, 12.709, 1.207]], "species": ["Sm", "Sm", "Sm", "Sm", "Sm", "Sm", "Sm", "Bi", "Bi", "Bi", "C", "C"], "frac_coords": [[0.000, 0.403, 0.807], [0.000, 0.000, 0.000], [0.000, 0.597, 0.193], [0.000, 0.196, 0.391], [0.000, 0.804, 0.609], [0.500, 0.096, 0.191], [0.500, 0.904, 0.809], [0.500, 0.689, 0.378], [0.500, 0.500, 0.000], [0.500, 0.311, 0.622], [0.000, 0.898, 0.797], [0.000, 0.102, 0.203]]}



# 22
{"formula": "ZnAs4Cl", "functional": "PBE", "state": "relaxed", "sg": "No. 216", "e_form_raw_ev_per_atom": 0.199, "lattice_angstrom": [[5.205, 2.073, 1.914], [0.159, 4.292, 4.075], [1.825, -1.208, 5.502]], "species": ["Cl", "As", "As", "As", "As", "Zn"], "frac_coords": [[0.750, 0.750, 0.750], [0.395, 0.395, 0.395], [0.816, 0.395, 0.395], [0.395, 0.816, 0.395], [0.395, 0.395, 0.816], [0.000, 0.000, 0.000]]}



# 23
{"formula": "Pm2LuNb", "functional": "PBE", "state": "relaxed", "sg": "No. 166", "delta_e_f_ev_per_atom": 0.347, "lattice_angstrom": [[-1.685, -2.010, 4.487], [-2.685, -4.450, 0.008], [2.515, -4.550, 1.917]], "species": ["Nb", "Pm", "Pm", "Lu"], "frac_coords": [[0.000, 0.000, 0.000], [0.263, 0.263, 0.212], [0.737, 0.737, 0.788], [0.500, 0.500, 0.500]]}



# 24
{"formula": "BaPmTcO6", "functional": "PBE", "state": "relaxed", "sg": "No. 149", "e_form_raw_ev_per_atom": -2.227, "lattice_angstrom": [[5.721, 0.000, 0.000], [2.861, 4.954, 0.000], [0.000, 0.000, 5.574]], "species": ["Pm", "O", "O", "O", "O", "O", "O", "Ba", "Tc"], "frac_coords": [[0.667, 0.667, 0.500], [0.599, 0.053, 0.303], [0.599, 0.349, 0.697], [0.053, 0.599, 0.697], [0.053, 0.349, 0.303], [0.349, 0.599, 0.303], [0.349, 0.053, 0.697], [0.000, 0.000, 0.000], [0.333, 0.333, 0.500]]}



# 25
{"formula": "Al2CdIr", "functional": "PBE", "state": "relaxed", "sg": "No. 65", "delta_e_f_ev_per_atom": -0.172, "lattice_angstrom": [[4.569, 0.058, 0.000], [-0.045, 4.569, 0.000], [0.000, 0.000, 3.028]], "species": ["Cd", "Ir", "Al", "Al"], "frac_coords": [[0.500, 0.000, 0.500], [0.000, 0.500, 0.500], [0.000, 0.000, 0.000], [0.500, 0.500, 0.000]]}



# 26
{"formula": "Tl2HgTePt", "functional": "PBE", "state": "relaxed", "sg": "No. 123", "e_form_raw_ev_per_atom": -0.061, "lattice_angstrom": [[5.367, 0.000, 0.000], [0.000, 5.367, 0.000], [0.000, 0.000, 5.305]], "species": ["Pt", "Hg", "Tl", "Tl", "Te"], "frac_coords": [[0.000, 0.000, 0.000], [0.000, 0.000, 0.500], [0.000, 0.500, 0.000], [0.500, 0.000, 0.000], [0.500, 0.500, 0.500]]}